{
  "formula": "Tb3SmY3Se8",
  "functional": "PBE-GGA",
  "state": "relaxed",
  "total_energy_ev_per_atom": -6.237,
  "formation_energy_uncorrected_ev_per_atom": -1.845,
  "cell": [[-0.384, 4.734, -6.637], [2.382, -7.777, -0.667], [-7.790, 1.751, 1.699]],
  "species": ["Y", "Tb", "Y", "Tb", "Se", "Se", "Se", "Se", "Sm", "Se", "Se", "Y", "Tb", "Se", "Se"],
  "frac_coords": [[0.500, 0.000, 0.500], [0.500, 0.500, 0.000], [0.000, 0.500, 0.500], [0.000, 0.000, 0.000], [0.250, 0.501, 0.251], [0.257, 0.514, 0.756], [0.257, 0.001, 0.244], [0.257, 0.999, 0.756], [0.000, 0.000, 0.500], [0.743, 0.486, 0.244], [0.750, 0.499, 0.749], [0.500, 0.500, 0.500], [0.000, 0.500, 0.000], [0.743, 0.999, 0.756], [0.743, 0.001, 0.244]]
}

{
  "formula": "Tb2SmYSe4",
  "functional": "PBE-GGA",
  "state": "relaxed",
  "total_energy_ev_per_atom": -6.077,
  "formation_energy_uncorrected_ev_per_atom": -1.779,
  "cell": [[-3.776, 1.499, -0.100], [-2.408, -5.846, 3.306], [0.241, 1.078, 7.087]],
  "species": ["Sm", "Y", "Tb", "Se", "Se", "Tb", "Se", "Se"],
  "frac_coords": [[0.500, 0.500, 0.000], [0.000, 0.500, 0.500], [0.500, 0.000, 0.500], [0.000, 0.755, 0.745], [0.500, 0.752, 0.253], [0.000, 0.000, 0.000], [0.000, 0.245, 0.255], [0.500, 0.248, 0.747]]
}